! Tb2PmNd2Tm (GGA-PBE, relaxed); values from VASP
&SYSTEM
  ibrav = 0, nat = 12, ntyp = 4
/
ATOMIC_SPECIES
Tb 158.93 Tb.upf
Pm 145.00 Pm.upf
Nd 144.24 Nd.upf
Tm 168.93 Tm.upf
CELL_PARAMETERS angstrom
7.0189 0.0000 0.0000
0.0000 5.6958 0.0000
0.0000 0.0000 9.8947
ATOMIC_POSITIONS crystal
Tb 0.2500 0.0000 0.1646
Tb 0.2500 0.5000 0.6679
Tb 0.7500 0.0000 0.8354
Tb 0.7500 0.5000 0.3321
Pm 0.0000 0.0000 0.5000
Pm 0.5000 0.0000 0.5000
Nd 0.0000 0.5000 0.0000
Nd 0.2500 0.0000 0.8292
Nd 0.5000 0.5000 0.0000
Nd 0.7500 0.0000 0.1708
Tm 0.2500 0.5000 0.3364
Tm 0.7500 0.5000 0.6636
! Formation enthalpy at 0 K ... 0.07 eV per atom
! DFT total energy ... -55.3 eV per cell
! Mass density ... 7.7 g/cm3
! Calculated volume ... 32.964 Å³/atom

! Hf3SiOs (GGA-PBE, relaxed); values from VASP
&SYSTEM
  ibrav = 0, nat = 5, ntyp = 3
/
ATOMIC_SPECIES
Hf 178.49 Hf.upf
Si 28.09 Si.upf
Os 190.23 Os.upf
CELL_PARAMETERS angstrom
4.9743 0.0000 0.0000
0.0000 4.9743 0.0000
0.0000 0.0000 4.9743
ATOMIC_POSITIONS crystal
Hf 0.0000 0.0000 0.5000
Hf 0.0000 0.5000 0.0000
Hf 0.5000 0.0000 0.0000
Si 0.5000 0.5000 0.5000
Os 0.0000 0.0000 0.0000
! ΔE_f (raw) ... 0.509 eV/atom
! DFT total energy ... -44.0 eV per cell
! Relative energy among the computed polymorphs ... 0 meV/atom
! Mass density ... 10.2 g/cm3
! Calculated volume ... 24.617 Å³/atom

! Rb2BeIn2 (GGA-PBE, relaxed); values from VASP
&SYSTEM
  ibrav = 0, nat = 5, ntyp = 3
/
ATOMIC_SPECIES
Rb 85.47 Rb.upf
Be 9.01 Be.upf
In 114.82 In.upf
CELL_PARAMETERS angstrom
-2.4514 2.4514 8.3589
2.4514 -2.4514 8.3589
2.4514 2.4514 -8.3589
ATOMIC_POSITIONS crystal
Rb 0.2500 0.7500 0.5000
Rb 0.7500 0.2500 0.5000
Be 0.0000 0.0000 0.0000
In 0.4161 0.4161 0.0000
In 0.5839 0.5839 0.0000
! Formation enthalpy at 0 K ... 0.83 eV per atom
! DFT total energy ... -7.0 eV per cell
! Relative energy among the computed polymorphs ... 497 meV/atom
! Mass density ... 3.4 g/cm3
! Calculated volume ... 40.184 Å³/atom

! KYTa (GGA-PBE, relaxed); values from VASP
&SYSTEM
  ibrav = 0, nat = 3, ntyp = 3
/
ATOMIC_SPECIES
K 39.10 K.upf
Y 88.91 Y.upf
Ta 180.95 Ta.upf
CELL_PARAMETERS angstrom
3.2850 0.0000 0.0000
-1.6425 2.8449 0.0000
0.0000 0.0000 9.3823
ATOMIC_POSITIONS crystal
K 0.0000 0.0000 0.0000
Y 0.3333 0.6667 0.5979
Ta 0.6667 0.3333 0.3384
! Formation enthalpy at 0 K ... 0.80 eV per atom
! DFT total energy ... -17.0 eV per cell
! Relative energy among the computed polymorphs ... 76 meV/atom
! Mass density ... 5.9 g/cm3
! Calculated volume ... 29.228 Å³/atom

Q: Which magnetic moment values were calculated for the entries above? A: 0.000, 0.000, 0.000, 0.000, in μB/f.u..